The following is a DFT calculation (PBE-GGA) of an optimized crystal structure of YSnAu.

Properties
* N(E_F): 1.34 states/eV/atom
* crystal system: hexagonal
* energy of formation from the pure elements: 0.3546 eV per atom
* M_tot: 0.00 μB/cell

a b c (Å): 4.7835 4.7835 12.3056
angles (deg): 90.00 90.00 120.00
Last column: nearest neighbours and their distance in Å.
Fractional coordinates of all 6 atoms:
Y 0.0000 0.0000 0.2500  3 Au 2.76, 2 Sn 3.08
Y 0.0000 0.0000 0.7500  3 Au 2.76, 2 Sn 3.08
Au 0.3333 0.6667 0.2500  3 Y 2.76
Au 0.6667 0.3333 0.7500  3 Y 2.76
Sn 0.0000 0.0000 0.0000  2 Y 3.08
Sn 0.0000 0.0000 0.5000  2 Y 3.08



The following is a DFT calculation (PBE-GGA) of an optimized crystal structure of TcPd2Ru.

Properties
* N(E_F): 0.95 states/eV/atom
* crystal system: tetragonal
* energy of formation from the pure elements: 1.5177 eV per atom
* M_tot: 0.00 μB/cell
* energy relative to the lowest polymorph listed for this composition: 397 kJ/mol of formula units

a b c (Å): 5.5652 5.5652 6.8548
angles (deg): 66.05 66.05 90.00
Last column: nearest neighbours and their distance in Å.
Fractional coordinates of all 8 atoms:
Ru 0.0000 0.0000 0.0000  4 Pd 2.42
Ru 0.7500 0.2500 0.5000  4 Pd 2.42
Tc 0.5000 0.5000 0.0000  4 Pd 2.41
Tc 0.2500 0.7500 0.5000  4 Pd 2.41
Pd 0.6234 0.1250 0.2500  2 Tc 2.41, 2 Ru 2.42
Pd 0.1266 0.6250 0.2500  2 Tc 2.41, 2 Ru 2.42
Pd 0.3750 0.3766 0.7500  2 Tc 2.41, 2 Ru 2.42
Pd 0.8750 0.8734 0.7500  2 Tc 2.41, 2 Ru 2.42



The following is a DFT calculation (PBE-GGA) of an optimized crystal structure of GePI2O.

Properties
* N(E_F): 0.58 states/eV/atom
* crystal system: tetragonal
* raw formation energy: 14 meV/atom
* M_tot: 0.00 μB/cell
* energy relative to the lowest polymorph listed for this composition: 0 kJ/mol of formula units

a b c (Å): 5.7189 5.7189 3.5833
angles (deg): 90.00 90.00 90.00
Last column: nearest neighbours and their distance in Å.
Fractional coordinates of all 5 atoms:
I 0.0000 0.5000 0.0000  2 P 2.86
I 0.5000 0.0000 0.0000  2 P 2.86
P 0.0000 0.0000 0.0000  2 O 1.79
Ge 0.5000 0.5000 0.5000  8 I 3.37, 2 Ge 3.58
O 0.0000 0.0000 0.5000  2 P 1.79



The following is a DFT calculation (PBE-GGA) of an optimized crystal structure of Tb3SmGe4.

Properties
* N(E_F): 0.85 states/eV/atom
* crystal system: orthorhombic
* energy of formation from the pure elements: -0.6501 eV per atom
* M_tot: 0.00 μB/cell

a b c (Å): 3.9709 6.4607 8.8595
angles (deg): 111.38 102.95 90.00
Last column: nearest neighbours and their distance in Å.
Fractional coordinates of all 8 atoms:
Tb 0.0000 0.5000 0.0000  8 Ge 3.15
Tb 0.1975 0.1975 0.3949  6 Ge 3.00
Tb 0.8025 0.8025 0.6051  6 Ge 3.00
Sm 0.5000 0.0000 0.0000  4 Ge 2.90
Ge 0.3682 0.5601 0.7363  1 Ge 2.48
Ge 0.6318 0.4399 0.2637  1 Ge 2.48
Ge 0.6319 0.8239 0.2638  1 Ge 2.48
Ge 0.3681 0.1761 0.7362  1 Ge 2.48